Li5Cu2Ni5O12 | PBE+U | relaxed

a b c (Å): 5.0525 5.0525 9.6467
angles (deg): 93.97 93.97 117.59
With the nearest neighbours (Å) after each atom.
Atoms (fractional coordinates):
Li (0.0000, 0.0000, 0.0000)  6 O 2.05-2.27
Li (0.2284, 0.2649, 0.7523)  5 O 2.04-2.26
Li (0.4216, 0.0840, 0.2447)  5 O 2.03-2.23
Li (0.7351, 0.7716, 0.2477)  5 O 2.04-2.26
Li (0.9160, 0.5784, 0.7553)  5 O 2.03-2.23
Cu (0.3404, 0.6596, 0.0000)  4 O 1.87-1.88
Cu (0.8199, 0.1801, 0.5000)  4 O 1.87-1.89
Ni (0.0790, 0.4281, 0.2478)  5 O 1.89-2.10
Ni (0.1582, 0.8418, 0.5000)  6 O 2.04-2.12
Ni (0.4858, 0.5142, 0.5000)  6 O 2.03-2.16
Ni (0.5719, 0.9210, 0.7522)  5 O 1.89-2.10
Ni (0.6690, 0.3310, 0.0000)  4 O 1.90-1.94
O (0.0709, 0.6962, 0.1146)  1 Cu 1.88, 1 Ni 1.94, 1 Li 2.10
O (0.0911, 0.1483, 0.3834)  1 Cu 1.89, 2 Ni 2.01-2.11
O (0.2427, 0.5972, 0.6394)  3 Ni 1.90-2.04, 2 Li 2.03-2.04
O (0.3038, 0.9291, 0.8854)  1 Cu 1.88, 1 Ni 1.94, 1 Li 2.10
O (0.4028, 0.7573, 0.3606)  3 Ni 1.90-2.04, 2 Li 2.03-2.04
O (0.4059, 0.4073, 0.1151)  1 Cu 1.87, 1 Ni 1.94, 1 Li 2.08
O (0.5443, 0.2099, 0.6116)  1 Cu 1.87, 1 Ni 2.05
O (0.5927, 0.5941, 0.8849)  1 Cu 1.87, 1 Ni 1.94, 1 Li 2.08
O (0.7552, 0.1098, 0.1316)  2 Ni 1.89-1.90, 3 Li 2.03-2.08
O (0.7901, 0.4557, 0.3884)  1 Cu 1.87, 1 Ni 2.05
O (0.8517, 0.9089, 0.6166)  1 Cu 1.89, 2 Ni 2.01-2.11
O (0.8902, 0.2448, 0.8684)  2 Ni 1.89-1.90, 3 Li 2.03-2.08

Properties
Symmetry ... C2, No. 5
DFT total energy ... -4.922 eV/atom
Spin magnetization ... 2.98 μB per cell